Entry 1:
Compound: Nd4Sb2O
Source: Alexandria
Functional: PBE
Structure: optimized geometry

abc: 4.717 4.717 9.245
angles: 104.78 104.78 90.00
Atoms (fractional coordinates):
O: 0.000 0.000 0.000
Nd: 0.175 0.175 0.349
Nd: 0.825 0.825 0.651
Nd: 0.500 0.000 0.000
Nd: 0.000 0.500 0.000
Sb: 0.361 0.361 0.722
Sb: 0.639 0.639 0.278

E above lowest polymorph ... 0.0 meV per atom
M_tot ... 0.000 μB/cell
Electronic total energy ... -6.062 eV per atom
Crystal system ... tetragonal
Density ... 7.2 g cm⁻³

Entry 2:
Compound: Nd3SbO2
Source: Alexandria
Functional: PBE
Structure: optimized geometry

abc: 4.440 4.852 14.546
angles: 114.26 90.00 90.00
Atoms (fractional coordinates):
Nd: 0.750 0.628 0.934
Nd: 0.750 0.955 0.257
Nd: 0.250 0.045 0.743
Nd: 0.250 0.261 0.509
Nd: 0.250 0.372 0.066
Nd: 0.750 0.739 0.491
O: 0.250 0.822 0.559
O: 0.750 0.559 0.083
O: 0.250 0.441 0.917
O: 0.750 0.178 0.441
Sb: 0.250 0.505 0.300
Sb: 0.750 0.495 0.700

M_tot ... 0.000 μB/cell
Electronic total energy ... -6.887 eV per atom
Crystal system ... monoclinic
Density ... 6.8 g cm⁻³

Entry 3:
Compound: NdSbO
Source: Alexandria
Functional: PBE
Structure: optimized geometry

abc: 4.522 6.650 10.420
angles: 90.00 90.00 90.00
Atoms (fractional coordinates):
O: 0.997 0.882 0.458
O: 0.003 0.382 0.042
O: 0.497 0.618 0.542
O: 0.503 0.118 0.958
Sb: 0.502 0.865 0.814
Sb: 0.002 0.635 0.186
Sb: 0.998 0.135 0.314
Sb: 0.498 0.365 0.686
Nd: 0.497 0.969 0.509
Nd: 0.997 0.531 0.491
Nd: 0.003 0.031 0.009
Nd: 0.503 0.469 0.991

E above lowest polymorph ... 0.0 meV per atom
M_tot ... 0.000 μB/cell
Electronic total energy ... -6.294 eV per atom
Crystal system ... orthorhombic
Density ... 6.0 g cm⁻³

Entry 4:
Compound: Nd5Sb2O2
Source: Alexandria
Functional: PBE
Structure: optimized geometry

abc: 5.083 7.097 7.238
angles: 104.65 90.00 110.98
Atoms (fractional coordinates):
O: 0.837 0.673 0.109
O: 0.163 0.327 0.891
Nd: 0.665 0.331 0.904
Nd: 0.842 0.684 0.437
Nd: 0.335 0.669 0.096
Nd: 0.000 0.000 0.000
Nd: 0.158 0.316 0.563
Sb: 0.588 0.175 0.299
Sb: 0.412 0.825 0.701

M_tot ... 0.000 μB/cell
Electronic total energy ... -6.287 eV per atom
Crystal system ... monoclinic
Density ... 7.1 g cm⁻³

Entry 5:
Compound: Nd3Sb2O2
Source: Alexandria
Functional: PBE
Structure: optimized geometry

abc: 4.142 7.589 6.647
angles: 110.66 108.15 90.00
Atoms (fractional coordinates):
Sb: 0.625 0.827 0.249
Sb: 0.375 0.173 0.751
O: 0.163 0.416 0.326
O: 0.837 0.584 0.674
Nd: 0.681 0.286 0.363
Nd: 0.319 0.714 0.637
Nd: 0.000 0.500 0.000

M_tot ... 0.000 μB/cell
Electronic total energy ... -6.695 eV per atom
Crystal system ... monoclinic
Density ... 6.4 g cm⁻³

Entry 6:
Compound: Nd5Sb2O12
Source: Alexandria
Functional: PBE
Structure: optimized geometry

abc: 6.239 7.177 7.666
angles: 105.52 90.00 115.76
Atoms (fractional coordinates):
Nd: 0.303 0.606 0.168
Nd: 0.700 0.400 0.363
Nd: 0.697 0.394 0.832
Nd: 0.300 0.600 0.637
Nd: 0.000 0.000 0.500
O: 0.597 0.692 0.425
O: 0.103 0.672 0.917
O: 0.499 0.998 0.181
O: 0.569 0.672 0.917
O: 0.501 0.002 0.819
O: 0.095 0.692 0.425
O: 0.905 0.308 0.575
O: 0.000 0.999 0.818
O: 0.897 0.328 0.083
O: 0.403 0.308 0.575
O: 0.000 0.001 0.182
O: 0.431 0.328 0.083
Sb: 0.755 0.000 0.000
Sb: 0.245 0.000 0.000

M_tot ... 0.000 μB/cell
Electronic total energy ... -7.552 eV per atom
Crystal system ... monoclinic
Density ... 6.5 g cm⁻³

What is the electronic total energy in the second record?
-6.887 eV per atom

Which value of density does entry 5 give?
6.4 g cm⁻³